Version w
VASP calculation (PBE) on a relaxed Ho8Tm2Th3 crystal.

Cell lengths 5.542, 7.843, 10.608 Å; angles 111.70, 90.08, 90.00 degrees
Fractional coordinates of all 13 atoms:
Ho  0.998  0.329  0.657
Ho  0.499  0.187  0.783
Ho  0.501  0.404  0.217
Ho  0.501  0.813  0.217
Ho  0.002  0.671  0.343
Ho  0.001  0.870  0.741
Ho  0.499  0.596  0.783
Ho  0.999  0.130  0.259
Tm  0.502  0.761  0.523
Tm  0.498  0.239  0.477
Th  0.000  0.704  0.000
Th  0.500  0.000  0.000
Th  0.000  0.296  0.000

## Properties
Volume   428 Å³/cell

Version x
VASP calculation (PBE) on a relaxed Ho8Tm2Th3 crystal.

Cell lengths 6.573, 9.229, 8.693 Å; angles 122.06, 81.97, 90.00 degrees
Fractional coordinates of all 13 atoms:
Th  0.000  0.169  0.000
Th  0.000  0.831  0.000
Th  0.500  0.000  0.000
Ho  0.717  0.196  0.392
Ho  0.126  0.583  0.166
Ho  0.566  0.435  0.226
Ho  0.434  0.209  0.774
Ho  0.566  0.791  0.226
Ho  0.283  0.804  0.608
Ho  0.434  0.565  0.774
Ho  0.874  0.417  0.834
Tm  0.212  0.213  0.425
Tm  0.788  0.787  0.575

## Properties
Volume   441 Å³/cell

The least stable of them is version x.

Version w
VASP calculation (PBE) on a relaxed Ho3TmTh3 crystal.

Cell lengths 5.810, 9.416, 9.414 Å; angles 120.00, 90.00, 90.00 degrees
Fractional coordinates of all 14 atoms:
Th  0.750  0.048  0.235
Th  0.250  0.952  0.765
Th  0.750  0.187  0.952
Th  0.750  0.765  0.813
Th  0.250  0.813  0.048
Th  0.250  0.235  0.187
Ho  0.750  0.620  0.092
Ho  0.250  0.092  0.471
Ho  0.750  0.471  0.380
Ho  0.250  0.380  0.908
Ho  0.250  0.529  0.620
Ho  0.750  0.908  0.529
Tm  0.250  0.667  0.333
Tm  0.750  0.333  0.667

## Properties
Volume   446 Å³/cell

Version x
VASP calculation (PBE) on a relaxed Ho3TmTh3 crystal.

Cell lengths 8.746, 8.746, 8.746 Å; angles 60.05, 60.05, 60.05 degrees
Fractional coordinates of all 14 atoms:
Ho  0.734  0.561  0.064
Ho  0.266  0.439  0.936
Ho  0.064  0.734  0.561
Ho  0.936  0.266  0.439
Ho  0.561  0.064  0.734
Ho  0.439  0.936  0.266
Th  0.196  0.938  0.704
Th  0.804  0.062  0.296
Th  0.704  0.196  0.938
Th  0.296  0.804  0.062
Th  0.938  0.704  0.196
Th  0.062  0.296  0.804
Tm  0.352  0.352  0.352
Tm  0.648  0.648  0.648

## Properties
Volume   474 Å³/cell

The least stable of them is version x.

Version w
VASP calculation (PBE) on a relaxed Ho6Tm2Th crystal.

Cell lengths 3.534, 9.323, 12.707 Å; angles 125.20, 65.34, 124.73 degrees
Fractional coordinates of all 9 atoms:
Tm  0.997  0.220  0.556
Tm  0.003  0.780  0.444
Ho  0.010  0.561  0.888
Ho  0.000  0.333  0.334
Ho  0.006  0.892  0.222
Ho  0.000  0.667  0.666
Ho  0.990  0.439  0.112
Ho  0.994  0.108  0.778
Th  0.000  0.000  0.000

## Properties
Volume   279 Å³/cell

Version x
VASP calculation (PBE) on a relaxed Ho6Tm2Th crystal.

Cell lengths 6.858, 6.858, 8.665 Å; angles 66.69, 66.69, 60.00 degrees
Fractional coordinates of all 9 atoms:
Ho  0.056  0.560  0.329
Ho  0.560  0.056  0.329
Ho  0.771  0.283  0.664
Ho  0.283  0.771  0.664
Ho  0.283  0.283  0.664
Ho  0.056  0.056  0.329
Tm  0.741  0.741  0.777
Tm  0.581  0.581  0.258
Th  0.336  0.336  0.991

## Properties
Volume   314 Å³/cell

The least stable of them is version x.

Version w
VASP calculation (PBE) on a relaxed Ho6Tm12Th crystal.

Cell lengths 8.601, 8.601, 8.601 Å; angles 99.84, 99.84, 99.84 degrees
Fractional coordinates of all 19 atoms:
Ho  0.892  0.892  0.337
Ho  0.108  0.663  0.108
Ho  0.892  0.337  0.892
Ho  0.663  0.108  0.108
Ho  0.337  0.892  0.892
Ho  0.108  0.108  0.663
Tm  0.500  0.756  0.244
Tm  0.500  0.244  0.756
Tm  0.654  0.654  0.923
Tm  0.346  0.346  0.077
Tm  0.756  0.500  0.244
Tm  0.077  0.346  0.346
Tm  0.244  0.500  0.756
Tm  0.654  0.923  0.654
Tm  0.244  0.756  0.500
Tm  0.346  0.077  0.346
Tm  0.756  0.244  0.500
Tm  0.923  0.654  0.654
Th  0.000  0.000  0.000

## Properties
Volume   604 Å³/cell

Version x
VASP calculation (PBE) on a relaxed Ho6Tm12Th crystal.

Cell lengths 8.422, 8.422, 8.422 Å; angles 88.49, 88.49, 88.49 degrees
Fractional coordinates of all 19 atoms:
Tm  0.007  0.216  0.348
Tm  0.561  0.228  0.455
Tm  0.439  0.772  0.545
Tm  0.348  0.007  0.216
Tm  0.455  0.561  0.228
Tm  0.784  0.652  0.993
Tm  0.652  0.993  0.784
Tm  0.545  0.439  0.772
Tm  0.216  0.348  0.007
Tm  0.772  0.545  0.439
Tm  0.228  0.455  0.561
Tm  0.993  0.784  0.652
Ho  0.911  0.315  0.746
Ho  0.746  0.911  0.315
Ho  0.254  0.089  0.685
Ho  0.315  0.746  0.911
Ho  0.685  0.254  0.089
Ho  0.089  0.685  0.254
Th  0.000  0.000  0.000

## Properties
Volume   597 Å³/cell

The least stable of them is version w.